# Y6ZnSe5

A relaxed Y6ZnSe5 crystal (PBE, the Alexandria database).

a b c (Å): 7.1197 7.1197 7.0986
angles (deg): 99.61 99.61 119.94
Closest atoms and distances in Å follow each position.
Fractional positions:
Se1 0.5000 0.5000 0.5000  6 Y 2.91-2.98
Se2 0.8288 0.1712 0.5000  6 Y 2.90-2.94
Se3 0.1712 0.8288 0.5000  6 Y 2.90-2.94
Se4 0.3343 0.6657 0.0000  6 Y 2.90-2.91
Se5 0.6657 0.3343 0.0000  6 Y 2.90-2.91
Y1 0.4054 0.0807 0.2433  1 Zn 2.83, 5 Se 2.90-2.94
Y2 0.0807 0.4054 0.2433  1 Zn 2.83, 5 Se 2.90-2.94
Y3 0.7576 0.7576 0.2451  1 Zn 2.83, 5 Se 2.90-2.98
Y4 0.2424 0.2424 0.7549  1 Zn 2.83, 5 Se 2.90-2.98
Y5 0.9193 0.5946 0.7567  1 Zn 2.83, 5 Se 2.90-2.94
Y6 0.5946 0.9193 0.7567  1 Zn 2.83, 5 Se 2.90-2.94
Zn1 0.0000 0.0000 0.0000  6 Y 2.83

## Properties
- Formation energy (no corrections): -1.560 eV per atom
- Uncorrected energy: -76.2 eV/cell
- Size of the total moment: 0.00 μB per formula unit